Density functional theory data (GGA-PBE) for a geometry-optimized TaCdAsO6 structure.

Summary:
The value obtained for the total magnetization is 0.0 μB/cell. The energy is -7.044 eV per atom. As for the space group: P-31c, No. 163.

Structure (POSCAR):
```
TaCdAsO6
1.0
-4.8211 1.7975 -0.4402
0.8103 -5.0060 0.9749
-0.1906 1.8340 9.5763
O Cd As Ta
12 2 2 2
Direct
0.9804 0.3634 0.6424
0.9804 0.6171 0.8576
0.3829 0.0196 0.6424
0.6171 0.6366 0.1424
0.6367 0.0196 0.8576
0.3634 0.9804 0.1424
0.0196 0.6366 0.3576
0.6367 0.6171 0.6424
0.6171 0.9804 0.3576
0.3829 0.3634 0.8576
0.3634 0.3829 0.3576
0.0196 0.3829 0.1424
0.0000 0.0000 0.5000
0.0000 0.0000 0.0000
0.3333 0.6667 0.2500
0.6667 0.3333 0.7500
0.6667 0.3333 0.2500
0.3333 0.6667 0.7500
```